1.
Here is crystalline K2VGeSe4 at its relaxed geometry from Alexandria via LeMat-Bulk. Energies are from GGA-PBE.

Lattice parameters (Å, degrees): 6.826 7.631 11.814 82.58 73.21 63.43
Last column: magnetic moment on the atom in μB.
Sites, in units of the cell vectors:
Se1 0.180 0.193 0.889  -0.04
Se2 0.488 0.693 0.389  -0.04
Se3 0.930 0.807 0.889  -0.04
Se4 0.262 0.807 0.111  -0.04
Se5 0.570 0.307 0.611  -0.04
Se6 0.627 0.193 0.111  -0.04
Se7 0.820 0.693 0.611  -0.04
Se8 0.123 0.307 0.389  -0.04
Ge1 0.250 0.500 0.500  -0.01
Ge2 0.500 0.000 0.000  -0.01
K1 0.568 0.500 0.863  0.00
K2 0.818 0.000 0.363  0.00
K3 0.182 0.000 0.637  0.00
K4 0.932 0.500 0.137  0.00
V1 0.750 0.500 0.500  1.11
V2 0.000 0.000 0.000  1.11

Output
Final energy (eV per atom): -4.51
Formation energy (no corrections) (eV/f.u.): -6.2
Magnetic moment (Bohr magnetons per cell): 2.0

---

2.
Here is crystalline KYGeSe3 at its relaxed geometry from Alexandria via LeMat-Bulk. Energies are from GGA-PBE.

Lattice parameters (Å, degrees): 4.056 8.636 11.078 108.55 90.00 90.00
Sites, in units of the cell vectors:
K1 0.750 0.766 0.723
K2 0.250 0.234 0.277
Y1 0.250 0.639 0.156
Y2 0.750 0.361 0.844
Se1 0.250 0.107 0.778
Se2 0.250 0.605 0.892
Se3 0.750 0.395 0.108
Se4 0.250 0.667 0.424
Se5 0.750 0.893 0.222
Se6 0.750 0.333 0.576
Ge1 0.250 0.128 0.559
Ge2 0.750 0.872 0.441

Output
Final energy (eV per atom): -5.03
Formation energy (no corrections) (eV/f.u.): -7.5
Magnetic moment (Bohr magnetons per cell): 0.0

---

3.
Here is crystalline KYGeSe4 at its relaxed geometry from Alexandria via LeMat-Bulk. Energies are from GGA-PBE.

Lattice parameters (Å, degrees): 6.786 7.045 9.146 90.00 107.54 90.00
Sites, in units of the cell vectors:
Se1 0.989 0.009 0.289
Se2 0.011 0.991 0.711
Se3 0.011 0.509 0.711
Se4 0.568 0.250 0.837
Se5 0.989 0.491 0.289
Se6 0.432 0.750 0.163
Se7 0.441 0.750 0.585
Se8 0.559 0.250 0.415
Ge1 0.773 0.250 0.671
Ge2 0.227 0.750 0.329
K1 0.753 0.750 0.941
K2 0.247 0.250 0.059
Y1 0.773 0.750 0.448
Y2 0.227 0.250 0.552

Output
Final energy (eV per atom): -4.85
Formation energy (no corrections) (eV/f.u.): -7.8
Magnetic moment (Bohr magnetons per cell): 0.0

---

4.
Here is crystalline KZnGe2Se at its relaxed geometry from Alexandria via LeMat-Bulk. Energies are from GGA-PBE.

Lattice parameters (Å, degrees): 4.810 5.881 4.810 90.00 90.00 90.00
Sites, in units of the cell vectors:
K1 0.000 0.500 0.000
Ge1 0.000 0.000 0.500
Ge2 0.500 0.000 0.000
Se1 0.500 0.500 0.500
Zn1 0.000 0.000 0.000

Output
Final energy (eV per atom): -2.72
Formation energy (no corrections) (eV/f.u.): 1.5
Magnetic moment (Bohr magnetons per cell): 0.0